No. 1
CsMn2Pd | PBEsol | optimized geometry

a b c (Å): 4.7126 4.7126 4.7126
angles (deg): 60.00 60.00 60.00
With the nearest neighbours (Å) after each atom.
Fractional coordinates of all 4 atoms:
Cs (0.0000, 0.0000, 0.0000)  8 Mn 2.89
Mn (0.2500, 0.2500, 0.2500)  4 Pd 2.89, 4 Cs 2.89
Mn (0.7500, 0.7500, 0.7500)  4 Pd 2.89, 4 Cs 2.89
Pd (0.5000, 0.5000, 0.5000)  8 Mn 2.89

Output
Its symmetry is No. 225. The total energy comes out at -21.481 eV/cell.

No. 2
CsMn2PtRh | PBEsol | optimized geometry

a b c (Å): 4.7123 4.7123 4.9389
angles (deg): 90.00 90.00 90.00
With the nearest neighbours (Å) after each atom.
Fractional coordinates of all 5 atoms:
Cs (0.0000, 0.0000, 0.0000)  4 Mn 2.36, 2 Pt 2.47
Mn (0.0000, 0.5000, 0.0000)  2 Cs 2.36
Mn (0.5000, 0.0000, 0.0000)  2 Cs 2.36
Pt (0.0000, 0.0000, 0.5000)  2 Cs 2.47
Rh (0.5000, 0.5000, 0.5000)  4 Pt 3.33, 8 Mn 3.41

Output
Its symmetry is No. 123. The total energy comes out at -22.149 eV/cell.

No. 3
Cs2Mn3S4 | PBEsol | optimized geometry

a b c (Å): 9.4461 9.4461 9.4461
angles (deg): 143.05 105.42 86.27
With the nearest neighbours (Å) after each atom.
Fractional coordinates of all 18 atoms:
Cs (0.1192, 0.2349, 0.3541)  8 S 3.53-3.76, 2 Mn 3.92, 1 Cs 3.92
Cs (0.3808, 0.7349, 0.1157)  8 S 3.53-3.76, 2 Mn 3.92, 1 Cs 3.92
Cs (0.6192, 0.2651, 0.8843)  8 S 3.53-3.76, 2 Mn 3.92, 1 Cs 3.92
Cs (0.8808, 0.7651, 0.6459)  8 S 3.53-3.76, 2 Mn 3.92, 1 Cs 3.92
Mn (0.0248, 0.2500, 0.7748)  4 S 2.39-2.46
Mn (0.2500, 0.7500, 0.5000)  4 S 2.41
Mn (0.4752, 0.2500, 0.2252)  4 S 2.39-2.46
Mn (0.5248, 0.7500, 0.7748)  4 S 2.39-2.46
Mn (0.7500, 0.2500, 0.5000)  4 S 2.41
Mn (0.9752, 0.7500, 0.2252)  4 S 2.39-2.46
S (0.0190, 0.4363, 0.1482)  3 Mn 2.39-2.46
S (0.2119, 0.0637, 0.5827)  3 Mn 2.39-2.46
S (0.2881, 0.8708, 0.8518)  3 Mn 2.39-2.46
S (0.4810, 0.6292, 0.4173)  3 Mn 2.39-2.46
S (0.5190, 0.3708, 0.5827)  3 Mn 2.39-2.46
S (0.7119, 0.1292, 0.1482)  3 Mn 2.39-2.46
S (0.7881, 0.9363, 0.4173)  3 Mn 2.39-2.46
S (0.9810, 0.5637, 0.8518)  3 Mn 2.39-2.46

Output
The calculation puts the energy above the most stable polymorph in this dataset at 1.77 eV per formula unit. Its symmetry is No. 72. As for the uncorrected formation energy: -6.41 eV per formula unit.

No. 4
Cs2Mn3S4 | PBEsol | optimized geometry

a b c (Å): 7.5041 7.5041 5.5154
angles (deg): 90.00 90.00 136.87
With the nearest neighbours (Å) after each atom.
Fractional coordinates of all 9 atoms:
Cs (0.0000, 0.5000, 0.2448)  8 S 3.47-3.58, 2 Cs 3.86
Cs (0.5000, 0.0000, 0.7552)  8 S 3.47-3.58, 2 Cs 3.86
Mn (0.0000, 0.0000, 0.0000)  4 S 2.34
Mn (0.0000, 0.0000, 0.5000)  4 S 2.26
Mn (0.5000, 0.5000, 0.5000)  4 S 2.34
S (0.1448, 0.3299, 0.7368)  3 Mn 2.26-2.34
S (0.3299, 0.1448, 0.2632)  3 Mn 2.26-2.34
S (0.6701, 0.8552, 0.2632)  3 Mn 2.26-2.34
S (0.8552, 0.6701, 0.7368)  3 Mn 2.26-2.34

Output
The calculation puts the energy above the most stable polymorph in this dataset at 0.00 eV per formula unit. Its symmetry is No. 21. As for the uncorrected formation energy: -8.18 eV per formula unit.

We obtain V values of 74 110 472 212 Å³ per cell for the records listed above, in that order.